(1)
VASP calculation (PBE-GGA) on an optimized crystal structure of ErTe3.

Geometry as POSCAR:
```
ErTe3
1.0
2.155 -13.366 0.000
2.155 13.366 0.000
0.000 0.000 4.311
Er Te
2 6
Cartesian
2.155 8.724 3.233
2.155 -8.724 1.078
2.155 11.263 1.078
2.155 5.561 3.233
2.155 2.102 1.078
2.155 -2.102 3.233
2.155 -5.561 1.078
2.155 -11.263 3.233
```

Calculated values
Space group   Cmcm
E_form (uncorrected)   -0.883 eV per atom

***

(2)
VASP calculation (PBE-GGA) on an optimized crystal structure of Th2MgGa2Ru5.

Geometry as POSCAR:
```
Th2MgGa2Ru5
1.0
10.060 0.000 0.000
0.000 10.060 0.000
0.000 0.000 3.549
Th Mg Ga Ru
4 2 4 10
Cartesian
1.758 3.272 0.000
3.272 8.302 0.000
6.788 1.758 0.000
8.302 6.788 0.000
0.000 0.000 0.000
5.030 5.030 0.000
1.249 6.279 0.000
3.781 1.249 0.000
6.279 8.811 0.000
8.811 3.781 0.000
0.000 5.030 1.774
0.745 7.996 1.774
2.064 0.745 1.774
2.966 5.775 1.774
4.285 2.966 1.774
5.030 0.000 1.774
5.775 7.094 1.774
7.094 4.285 1.774
7.996 9.315 1.774
9.315 2.064 1.774
```

Calculated values
Space group   P4/mbm
Formation energy from the elements   -28.0 kJ per mole of atoms

***

(3)
VASP calculation (PBE-GGA) on an optimized crystal structure of Sc5In2Ru2Pt.

Geometry as POSCAR:
```
Sc5In2Ru2Pt
1.0
11.113 0.000 0.000
0.000 11.113 0.000
0.000 0.000 3.291
Sc In Ru Pt
10 4 4 2
Cartesian
0.000 5.557 0.000
0.756 2.191 0.000
2.191 10.357 0.000
3.365 4.800 0.000
4.800 7.748 0.000
5.557 0.000 0.000
6.313 3.365 0.000
7.748 6.313 0.000
8.922 0.756 0.000
10.357 8.922 0.000
1.941 7.497 1.646
3.616 1.941 1.646
7.497 9.173 1.646
9.173 3.616 1.646
1.499 4.057 1.646
4.057 9.614 1.646
7.056 1.499 1.646
9.614 7.056 1.646
0.000 0.000 1.646
5.557 5.557 1.646
```

Calculated values
Space group   P4/mbm
Formation energy from the elements   -55.7 kJ per mole of atoms

***

(4)
VASP calculation (PBE-GGA) on an optimized crystal structure of ReSi.

Geometry as POSCAR:
```
ReSi
1.0
4.799 0.000 0.000
0.000 4.799 0.000
0.000 0.000 4.799
Re Si
4 4
Cartesian
0.645 0.645 0.645
1.754 4.154 3.044
3.044 1.754 4.154
4.154 3.044 1.754
0.746 1.653 3.145
1.653 3.145 0.746
3.145 0.746 1.653
4.053 4.053 4.053
```

Calculated values
Space group   P2_13
E_form (uncorrected)   -0.299 eV per atom

***

(5)
VASP calculation (PBE-GGA) on an optimized crystal structure of FeHgBr2.

Geometry as POSCAR:
```
FeHgBr2
1.0
-2.011 2.011 6.993
2.011 -2.011 6.993
2.011 2.011 -6.993
Fe Hg Br
1 1 2
Cartesian
0.000 0.000 0.000
2.011 0.000 3.496
0.000 0.000 6.993
0.000 2.011 3.496
```

Calculated values
Space group   I-4m2
E_form (uncorrected)   0.356 eV per atom

***

(6)
VASP calculation (PBE-GGA) on an optimized crystal structure of Tb5Al4In.

Geometry as POSCAR:
```
Tb5Al4In
1.0
3.613 0.000 0.000
0.000 3.613 0.000
0.000 0.000 18.613
Tb Al In
5 4 1
Cartesian
0.000 0.000 0.000
0.000 0.000 3.608
0.000 0.000 7.270
0.000 0.000 11.343
0.000 0.000 15.005
1.807 1.807 1.801
1.807 1.807 5.440
1.807 1.807 13.173
1.807 1.807 16.812
1.807 1.807 9.307
```

Calculated values
Space group   P4/mmm
Formation energy from the elements   -39.5 kJ per mole of atoms

***

Short version: Fermi-level density of states = 0.187; 1.003; 0.401; 0.526; 1.068; 0.418 states/eV/atom, in the order given.
Short version: ρ = 7.35; 10.48; 6.96; 12.88; 6.11; 6.95 g cm⁻³, in the order given.